1.
{"formula": "OsRh", "functional": "meta-GGA SCAN", "state": "single point on PBEsol structure", "cell": [[4.292, 0.000, 0.000], [0.000, 4.697, 0.000], [0.000, 0.000, 5.424]], "species": ["Rh", "Os", "Rh", "Rh", "Os", "Os", "Os", "Rh"], "frac_coords": [[0.250, 0.587, 0.878], [0.250, 0.078, 0.126], [0.750, 0.413, 0.122], [0.250, 0.087, 0.622], [0.750, 0.422, 0.626], [0.250, 0.578, 0.374], [0.750, 0.922, 0.874], [0.750, 0.913, 0.378]], "crystal_system": "orthorhombic", "magmom_total_mub_per_cell": 0.000}

---

2.
{"formula": "OsRh", "functional": "meta-GGA SCAN", "state": "single point on PBEsol structure", "cell": [[-1.113, -0.190, -3.680], [2.190, -2.790, 1.495], [-5.199, -3.150, 1.735]], "species": ["Os", "Os", "Rh", "Rh"], "frac_coords": [[0.333, 0.667, 0.503], [0.667, 0.333, 0.003], [0.667, 0.333, 0.626], [0.333, 0.667, 0.126]], "crystal_system": "hexagonal", "magmom_total_mub_per_cell": 0.000}

---

3.
{"formula": "Os5Rh", "functional": "meta-GGA SCAN", "state": "single point on PBEsol structure", "cell": [[-0.719, -1.684, -2.009], [4.017, 0.147, -1.560], [2.126, -4.714, 5.030]], "species": ["Os", "Os", "Os", "Os", "Rh", "Os"], "frac_coords": [[0.778, 0.500, 0.557], [0.442, 0.500, 0.885], [0.333, 0.000, 0.667], [0.667, 0.000, 0.334], [0.111, 0.500, 0.223], [0.001, 0.000, 0.001]], "e_above_lowest_polymorph_mev_per_atom": 3, "crystal_system": "orthorhombic", "magmom_total_mub_per_cell": 0.000}

---

| no. | ΔE_f (meV per atom) | theoretical density (g/cm³) |
| --- | --- | --- |
| 1 | 48.4 | 17.8 |
| 2 | 1265.0 | 12.0 |
| 3 | 14.7 | 21.1 |